First-principles (PBE) data for FeH2AuS after structural relaxation, as listed in the Alexandria database.

Output
ρ = 7.68 g/cm³
Electronic total energy = -0.3046 Ry/atom

```
data_FeH2AuS
_chemical_formula_sum 'Fe1 H2 Au1 S1'
_cell_length_a 3.316
_cell_length_b 3.316
_cell_length_c 5.646
_cell_angle_alpha 90.00
_cell_angle_beta 90.00
_cell_angle_gamma 90.00
_symmetry_space_group_name_H-M 'P 4/m m m'
_symmetry_Int_Tables_number 123
_symmetry_space_group_name_Hall '-P 4 2'
loop_
_atom_site_label
_atom_site_type_symbol
_atom_site_fract_x
_atom_site_fract_y
_atom_site_fract_z
Fe1 Fe 0.000 0.000 0.000
H1 H 0.000 0.500 0.500
Au1 Au 0.000 0.000 0.500
S1 S 0.500 0.500 0.000
```